1.
A relaxed CaZrW crystal. Source: the Alexandria database, functional PBE.

```
CaZrW
1.0
6.2273 0.0055 -0.0136
4.1826 4.6136 0.0136
-5.1993 -2.3222 2.5207
Zr W Ca
1 1 1
Direct
0.7059 0.7059 0.0000
0.3035 0.3035 0.0000
0.9906 0.9906 0.0000
```

Output
Space group ... No. 107
Energy of formation from the pure elements ... 0.542 eV per atom
Total magnetization ... 0.0 μB per cell
Total DFT energy (no corrections) ... -21.88 eV per cell

***

2.
A relaxed Mg2ZrW crystal. Source: the Alexandria database, functional PBE.

```
Mg2ZrW
1.0
10.5469 -0.0025 -0.0015
10.1360 2.9153 -0.0015
10.1360 1.4274 2.5419
W Mg Zr
1 2 1
Direct
0.7500 0.7500 0.7500
0.4941 0.4941 0.4941
0.0059 0.0059 0.0059
0.2500 0.2500 0.2500
```

Output
Space group ... No. 166
Energy of formation from the pure elements ... 0.355 eV per atom
Total magnetization ... 0.0 μB per cell
Total DFT energy (no corrections) ... -23.27 eV per cell

***

3.
A relaxed RbAl2Pt2 crystal. Source: the Alexandria database, functional PBE.

```
RbAl2Pt2
1.0
4.1950 0.0000 0.0000
0.0000 4.1950 0.0000
2.0975 2.0975 6.9009
Pt Rb Al
2 1 2
Direct
0.3466 0.3466 0.3068
0.6534 0.6534 0.6932
0.0000 0.0000 0.0000
0.2500 0.7500 0.5000
0.7500 0.2500 0.5000
```

Output
Space group ... No. 139
Energy of formation from the pure elements ... -0.570 eV per atom
Total magnetization ... 0.0 μB per cell
Total DFT energy (no corrections) ... -23.38 eV per cell

***

4.
A relaxed HfTi7Bi2 crystal. Source: the Alexandria database, functional PBE.

```
HfTi7Bi2
1.0
-6.6873 -1.0523 0.7476
-2.4239 -2.4692 5.8663
-3.6360 4.0059 4.1373
Hf Bi Ti
1 2 7
Direct
0.0000 0.0000 0.0000
0.7500 0.7500 0.7500
0.2500 0.2500 0.2500
0.2581 0.7419 0.7419
0.7419 0.2581 0.7419
0.7419 0.7419 0.2581
0.2581 0.7419 0.2581
0.7419 0.2581 0.2581
0.2581 0.2581 0.7419
0.5000 0.5000 0.5000
```

Output
Space group ... No. 225
Energy of formation from the pure elements ... 0.829 eV per atom
Total magnetization ... 3.7 μB per cell
Total DFT energy (no corrections) ... -64.69 eV per cell

***

5.
A relaxed Cs2RbCr2Cl7 crystal. Source: the Alexandria database, functional PBE.

```
Cs2RbCr2Cl7
1.0
5.0890 -0.0031 0.0104
0.0031 5.0890 0.0104
2.5089 2.5059 13.4764
Cl Cr Cs Rb
7 2 2 1
Direct
0.4101 0.9100 0.1810
0.0900 0.5899 0.8190
0.5000 0.5000 0.0000
0.6835 0.6835 0.6313
0.5899 0.0900 0.8190
0.9100 0.4101 0.1810
0.3165 0.3165 0.3687
0.5919 0.5919 0.8150
0.4081 0.4081 0.1850
0.8192 0.8192 0.3631
0.1808 0.1808 0.6369
0.0000 0.0000 0.0000
```

Output
Space group ... No. 12
Total magnetization ... 8.0 μB per cell
Raw formation energy ... -1.4996 eV per atom
Total DFT energy (no corrections) ... -52.84 eV per cell

***

6.
A relaxed Ti4Sb2O crystal. Source: the Alexandria database, functional PBE.

```
Ti4Sb2O
1.0
4.1297 0.0000 0.0000
0.0000 4.1297 0.0000
2.0648 2.0648 7.0383
O Sb Ti
1 2 4
Direct
0.0000 0.0000 0.0000
0.6485 0.6485 0.7030
0.3515 0.3515 0.2970
0.8473 0.8473 0.3053
0.0000 0.5000 0.0000
0.1527 0.1527 0.6947
0.5000 0.0000 0.0000
```

Output
Space group ... No. 139
Total magnetization ... 0.0 μB per cell
Raw formation energy ... -0.9844 eV per atom
Total DFT energy (no corrections) ... -51.67 eV per cell

***

Ordered D(E_F) results: 3.73, 4.64, 1.57, 14.33, 1.79, 9.76; unit states/eV/f.u..